Record 1
{"formula": "Na3Nd5Se8", "functional": "PBE", "state": "optimized geometry", "raw_formation_energy_ev_per_atom": -1.724, "lattice": [[4.2417, 2.4490, 6.9584], [-4.2417, 2.4490, 6.9584], [0.0000, -4.8979, 6.9584]], "species": ["Na", "Na", "Na", "Nd", "Nd", "Nd", "Nd", "Nd", "Se", "Se", "Se", "Se", "Se", "Se", "Se", "Se"], "fractional_positions": [[0.0000, 0.5000, 0.5000], [0.5000, 0.0000, 0.5000], [0.5000, 0.5000, 0.0000], [0.0000, 0.0000, 0.0000], [0.0000, 0.0000, 0.5000], [0.0000, 0.5000, 0.0000], [0.5000, 0.0000, 0.0000], [0.5000, 0.5000, 0.5000], [0.2468, 0.2468, 0.2468], [0.2488, 0.7501, 0.7501], [0.2499, 0.2499, 0.7512], [0.2499, 0.7512, 0.2499], [0.7501, 0.2488, 0.7501], [0.7501, 0.7501, 0.2488], [0.7512, 0.2499, 0.2499], [0.7532, 0.7532, 0.7532]]}

---

Record 2
{"formula": "NaSc2Ru", "functional": "PBE", "state": "optimized geometry", "lattice": [[3.2201, 0.0000, 0.0000], [0.0000, 3.2201, 0.0000], [0.0000, 0.0000, 8.9586]], "species": ["Na", "Sc", "Sc", "Ru"], "fractional_positions": [[0.0000, 0.0000, 0.0000], [0.5000, 0.5000, 0.3288], [0.5000, 0.5000, 0.6712], [0.0000, 0.0000, 0.5000]]}

---

Record 3
{"formula": "CaAcPrEr", "functional": "PBE", "state": "optimized geometry", "lattice": [[2.6820, -2.6822, 0.0000], [2.6820, 2.6822, 0.0000], [-0.0041, 0.0000, 10.6457]], "species": ["Ca", "Ac", "Pr", "Er"], "fractional_positions": [[0.0000, 0.0000, 0.0000], [0.5009, 0.5009, 0.7175], [0.0006, 0.0006, 0.4628], [0.5002, 0.5002, 0.2459]]}

---

Record 4
{"formula": "PrNdGeCl", "functional": "PBE", "state": "optimized geometry", "raw_formation_energy_ev_per_atom": -0.987, "lattice": [[5.8907, 0.0000, 0.0000], [0.0000, 2.5014, 4.3903], [0.0000, -2.5014, 4.3903]], "species": ["Pr", "Nd", "Ge", "Cl"], "fractional_positions": [[0.0000, 0.0000, 0.0000], [0.5000, 0.6693, 0.6693], [0.5000, 0.0005, 0.0005], [0.0000, 0.6690, 0.6690]]}

---

Record 5
{"formula": "AcHoH6Rh2", "functional": "PBE", "state": "optimized geometry", "lattice": [[3.9426, -4.8261, 0.0000], [3.9426, 4.8261, 0.0000], [-2.4710, 0.0000, 6.0963]], "species": ["Ac", "Ac", "Ho", "Ho", "H", "H", "H", "H", "H", "H", "H", "H", "H", "H", "H", "H", "Rh", "Rh", "Rh", "Rh"], "fractional_positions": [[0.1507, 0.8493, 0.7500], [0.8493, 0.1507, 0.2500], [0.4039, 0.5961, 0.2500], [0.5961, 0.4039, 0.7500], [0.0898, 0.5694, 0.3771], [0.1691, 0.2277, 0.0266], [0.2277, 0.1691, 0.5266], [0.3195, 0.5293, 0.8805], [0.4306, 0.9102, 0.1229], [0.4707, 0.6805, 0.6195], [0.5293, 0.3195, 0.3805], [0.5694, 0.0898, 0.8771], [0.6805, 0.4707, 0.1195], [0.7723, 0.8309, 0.4734], [0.8309, 0.7723, 0.9734], [0.9102, 0.4306, 0.6229], [0.0585, 0.3307, 0.8189], [0.3307, 0.0585, 0.3189], [0.6693, 0.9415, 0.6811], [0.9415, 0.6693, 0.1811]]}

---

Record 6
{"formula": "AlV2Co", "functional": "PBE", "state": "optimized geometry", "lattice": [[-3.3877, 3.3877, 2.4504], [3.3877, -3.3877, 2.4504], [3.3877, 3.3877, -2.4504]], "species": ["Al", "Al", "V", "V", "V", "V", "Co", "Co"], "fractional_positions": [[0.0000, 0.0000, 0.0000], [0.7500, 0.2500, 0.5000], [0.1705, 0.6250, 0.0455], [0.3750, 0.4205, 0.5455], [0.5795, 0.1250, 0.9545], [0.8750, 0.8295, 0.4545], [0.2500, 0.7500, 0.5000], [0.5000, 0.5000, 0.0000]]}

---

Record 7
{"formula": "Sm8Dy4Ho3", "functional": "PBE", "state": "optimized geometry", "lattice": [[3.4868, 2.0131, 11.8509], [-3.4868, 2.0131, 11.8509], [0.0000, -4.0262, 11.8509]], "species": ["Sm", "Sm", "Sm", "Sm", "Sm", "Sm", "Sm", "Sm", "Dy", "Dy", "Dy", "Dy", "Ho", "Ho", "Ho"], "fractional_positions": [[0.2455, 0.2455, 0.2455], [0.2479, 0.7503, 0.7503], [0.2497, 0.2497, 0.7521], [0.2497, 0.7521, 0.2497], [0.7503, 0.2479, 0.7503], [0.7503, 0.7503, 0.2479], [0.7521, 0.2497, 0.2497], [0.7545, 0.7545, 0.7545], [0.0000, 0.0000, 0.0000], [0.3360, 0.3360, 0.3360], [0.5000, 0.5000, 0.5000], [0.6640, 0.6640, 0.6640], [0.0000, 0.0000, 0.5000], [0.0000, 0.5000, 0.0000], [0.5000, 0.0000, 0.0000]]}

---

Record 8
{"formula": "LaHRu2", "functional": "PBE", "state": "optimized geometry", "lattice": [[0.0000, 3.9871, 3.9871], [3.9871, 0.0000, 3.9871], [3.9871, 3.9871, 0.0000]], "species": ["La", "La", "H", "H", "Ru", "Ru", "Ru", "Ru"], "fractional_positions": [[0.1250, 0.1250, 0.1250], [0.8750, 0.8750, 0.8750], [0.3750, 0.3750, 0.3750], [0.6250, 0.6250, 0.6250], [0.0000, 0.5000, 0.5000], [0.5000, 0.0000, 0.5000], [0.5000, 0.5000, 0.0000], [0.5000, 0.5000, 0.5000]]}

---

Ρ: 5.444 3.825 6.237 5.047 8.644 5.544 7.811 8.961 (Mg/m³)
E: -5.204 -6.102 -3.797 -4.990 -4.926 -7.062 -4.510 -6.792 (eV/atom)
D(E_F): 0.27 0.46 1.48 0.38 0.03 1.11 1.62 1.02 (states/eV/atom)